TmHfFe2O6 | GGA+U | relaxed

```
10
Lattice="5.409 0.000 0.000 2.701 4.697 0.000 0.028 3.086 4.777" Properties=species:S:1:pos:R:3 pbc="T T T"
Tm 0.000 0.000 0.000
Hf 5.422 6.251 2.406
Fe 2.719 4.658 3.083
Fe 5.410 3.127 0.610
O 1.809 3.177 1.508
O 3.898 6.169 3.898
O 4.435 4.642 1.530
O 3.455 2.867 3.915
O 4.574 1.534 1.498
O 6.249 4.894 3.871
```

The electronic total energy comes out at -8.14 eV per atom. The density of states at the Fermi level comes out at 0.0000 states/eV per atom. As for the space-group type: P1 (1). As for the theoretical density: 7.594 g/cm3.